Record 1
# Sr2ThNi9

A relaxed structure of Sr2ThNi9 (GGA-PBE, Alexandria).

DFT total energy, eV per atom: -5.41
Calculated formation energy, eV per atom: -0.171

```
data_Sr2ThNi9
_chemical_formula_sum 'Sr6 Th3 Ni27'
_cell_length_a 5.0585
_cell_length_b 5.0585
_cell_length_c 25.2486
_cell_angle_alpha 90.00
_cell_angle_beta 90.00
_cell_angle_gamma 120.00
_symmetry_space_group_name_H-M 'R -3 m'
_symmetry_Int_Tables_number 166
_symmetry_space_group_name_Hall '-R 3 2"'
loop_
_atom_site_label
_atom_site_type_symbol
_atom_site_fract_x
_atom_site_fract_y
_atom_site_fract_z
Sr1 Sr 0.0000 0.0000 0.1414
Th1 Th 0.0000 0.0000 0.0000
Ni1 Ni 0.0000 0.0000 0.3324
Ni2 Ni 0.0000 0.0000 0.5000
Ni3 Ni 0.0038 0.5019 0.0780
```

Record 2
# La2Pm5Sm3

A relaxed structure of La2Pm5Sm3 (GGA-PBE, Alexandria).

DFT total energy, eV per atom: -4.60
Calculated formation energy, eV per atom: 0.172

```
data_La2Pm5Sm3
_chemical_formula_sum 'La8 Pm20 Sm12'
_cell_length_a 11.030
_cell_length_b 17.087
_cell_length_c 9.261
_cell_angle_alpha 90.00
_cell_angle_beta 126.55
_cell_angle_gamma 90.00
_symmetry_space_group_name_H-M 'C 1 2/c 1'
_symmetry_Int_Tables_number 15
loop_
_symmetry_equiv_pos_as_xyz
'x,y,z'
'-x,-y,-z'
'-x,y,-z+1/2'
'x,-y,z+1/2'
'x+1/2,y+1/2,z'
'-x+1/2,-y+1/2,-z'
'-x+1/2,y+1/2,-z+1/2'
'x+1/2,-y+1/2,z+1/2'
loop_
_atom_site_label
_atom_site_type_symbol
_atom_site_fract_x
_atom_site_fract_y
_atom_site_fract_z
La1 La 0.150 0.125 0.050
Pm1 Pm 0.000 0.026 0.250
Pm2 Pm 0.000 0.220 0.250
Pm3 Pm 0.000 0.471 0.750
Pm4 Pm 0.250 0.127 0.749
Sm1 Sm 0.000 0.277 0.750
Sm2 Sm 0.140 0.374 0.532
```

Record 3
# Hf2ZrVC4

A relaxed structure of Hf2ZrVC4 (GGA-PBE, Alexandria).

DFT total energy, eV per atom: -9.75
Calculated formation energy, eV per atom: -0.438

```
data_Hf2ZrVC4
_chemical_formula_sum 'Hf8 Zr4 V4 C16'
_cell_length_a 3.236
_cell_length_b 11.163
_cell_length_c 11.342
_cell_angle_alpha 90.00
_cell_angle_beta 90.00
_cell_angle_gamma 90.00
_symmetry_space_group_name_H-M 'C m c m'
_symmetry_Int_Tables_number 63
_symmetry_space_group_name_Hall '-C 2c 2'
loop_
_atom_site_label
_atom_site_type_symbol
_atom_site_fract_x
_atom_site_fract_y
_atom_site_fract_z
Hf1 Hf 0.000 0.132 0.038
Zr1 Zr 0.000 0.375 0.250
V1 V 0.000 0.359 0.750
C1 C 0.000 0.037 0.250
C2 C 0.000 0.242 0.625
C3 C 0.000 0.500 0.000
```

Record 4
# Cd3AsF

A relaxed structure of Cd3AsF (GGA-PBE, Alexandria).

Formation energy (no corrections), eV/f.u.: -1.25
DFT total energy, eV per atom: -2.10

```
data_Cd3AsF
_chemical_formula_sum 'Cd3 As1 F1'
_cell_length_a 4.778
_cell_length_b 4.778
_cell_length_c 4.778
_cell_angle_alpha 90.00
_cell_angle_beta 90.00
_cell_angle_gamma 90.00
_symmetry_space_group_name_H-M 'P m -3 m'
_symmetry_Int_Tables_number 221
_symmetry_space_group_name_Hall '-P 4 2 3'
loop_
_atom_site_label
_atom_site_type_symbol
_atom_site_fract_x
_atom_site_fract_y
_atom_site_fract_z
Cd1 Cd 0.000 0.000 0.500
As1 As 0.500 0.500 0.500
F1 F 0.000 0.000 0.000
```

Record 5
# RbNb2CdIn

A relaxed structure of RbNb2CdIn (GGA-PBE, Alexandria).

DFT total energy, eV per atom: -3.48
Calculated formation energy, eV per atom: 1.476

```
data_RbNb2CdIn
_chemical_formula_sum 'Rb1 Nb2 Cd1 In1'
_cell_length_a 5.542
_cell_length_b 5.542
_cell_length_c 5.540
_cell_angle_alpha 90.00
_cell_angle_beta 90.00
_cell_angle_gamma 90.00
_symmetry_space_group_name_H-M 'P 4/m m m'
_symmetry_Int_Tables_number 123
_symmetry_space_group_name_Hall '-P 4 2'
loop_
_atom_site_label
_atom_site_type_symbol
_atom_site_fract_x
_atom_site_fract_y
_atom_site_fract_z
Rb1 Rb 0.000 0.000 0.000
Nb1 Nb 0.000 0.500 0.500
Cd1 Cd 0.500 0.500 0.000
In1 In 0.500 0.500 0.500
```

Record 6
# Tb4NdHo3Se8

A relaxed structure of Tb4NdHo3Se8 (GGA-PBE, Alexandria).

Formation energy (no corrections), eV/f.u.: -28.05
DFT total energy, eV per atom: -5.81

```
data_Tb4NdHo3Se8
_chemical_formula_sum 'Tb12 Nd3 Ho9 Se24'
_cell_length_a 8.2031
_cell_length_b 8.2031
_cell_length_c 20.0612
_cell_angle_alpha 90.00
_cell_angle_beta 90.00
_cell_angle_gamma 120.00
_symmetry_space_group_name_H-M 'R -3 m'
_symmetry_Int_Tables_number 166
_symmetry_space_group_name_Hall '-R 3 2"'
loop_
_atom_site_label
_atom_site_type_symbol
_atom_site_fract_x
_atom_site_fract_y
_atom_site_fract_z
Tb1 Tb 0.0000 0.0000 0.0000
Tb2 Tb 0.0000 0.5000 0.0000
Nd1 Nd 0.0000 0.0000 0.5000
Ho1 Ho 0.0000 0.5000 0.5000
Se1 Se 0.0000 0.0000 0.2486
Se2 Se 0.0074 0.5037 0.7496
```

Record 7
# CeCu4Pd3O12

A relaxed structure of CeCu4Pd3O12 (GGA-PBE, Alexandria).

Formation energy (no corrections), eV/f.u.: -16.14
DFT total energy, eV per atom: -5.68

```
data_CeCu4Pd3O12
_chemical_formula_sum 'Ce2 Cu8 Pd6 O24'
_cell_length_a 7.486
_cell_length_b 7.486
_cell_length_c 7.486
_cell_angle_alpha 90.00
_cell_angle_beta 90.00
_cell_angle_gamma 90.00
_symmetry_space_group_name_H-M 'I m -3'
_symmetry_Int_Tables_number 204
_symmetry_space_group_name_Hall '-I 2 2 3'
loop_
_atom_site_label
_atom_site_type_symbol
_atom_site_fract_x
_atom_site_fract_y
_atom_site_fract_z
Ce1 Ce 0.000 0.000 0.000
Cu1 Cu 0.250 0.250 0.250
Pd1 Pd 0.000 0.000 0.500
O1 O 0.000 0.175 0.296
```

Record 8
# MnIrPtW2

A relaxed structure of MnIrPtW2 (GGA-PBE, Alexandria).

DFT total energy, eV per atom: -7.86
Calculated formation energy, eV per atom: 2.135

```
data_MnIrPtW2
_chemical_formula_sum 'Mn1 Ir1 Pt1 W2'
_cell_length_a 4.716
_cell_length_b 4.716
_cell_length_c 4.389
_cell_angle_alpha 90.00
_cell_angle_beta 90.00
_cell_angle_gamma 90.00
_symmetry_space_group_name_H-M 'P 4/m m m'
_symmetry_Int_Tables_number 123
_symmetry_space_group_name_Hall '-P 4 2'
loop_
_atom_site_label
_atom_site_type_symbol
_atom_site_fract_x
_atom_site_fract_y
_atom_site_fract_z
Mn1 Mn 0.000 0.000 0.000
Ir1 Ir 0.500 0.500 0.000
Pt1 Pt 0.000 0.000 0.500
W1 W 0.000 0.500 0.500
```